[1]
Below is crystalline K2CdOs3O12 at its relaxed geometry, with properties calculated at the PBE-GGA level.

The calculation puts the uncorrected formation energy at -1.12 eV/atom. The density comes out at 5.61 g/cm3. Its crystal system is trigonal. The volume comes out at 847 Å³/cell. The density of states at the Fermi level is 25.3 states/eV/cell.

The space group is R-3m (No. 166, hexagonal axes) and the conventional cell measures 7.3739, 7.3739 and 17.9815 Å, with angles of 90.00, 90.00 and 120.00 degrees. The inequivalent atoms are K at (0.0000, 0.0000, 0.1193), Cd at (0.0000, 0.0000, 0.5000), Os at (0.0000, 0.5000, 0.0000), O at (0.0265, 0.5132, 0.1014) and O at (0.0785, 0.5393, 0.3409).

---

[2]
Below is crystalline K2Cd2OsO6 at its relaxed geometry, with properties calculated at the PBE-GGA level.

The calculation puts the uncorrected formation energy at -1.18 eV/atom. The density comes out at 5.46 g/cm3. Its crystal system is monoclinic. The volume comes out at 358 Å³/cell. The density of states at the Fermi level is 7.3 states/eV/cell.

The space group is C2/m (No. 12) and the conventional cell measures 5.9447, 9.8524 and 6.4621 Å, with angles of 90.00, 108.77 and 90.00 degrees. The inequivalent atoms are K at (0.0000, 0.1771, 0.0000), Cd at (0.0000, 0.3387, 0.5000), Os at (0.0000, 0.0000, 0.5000), O at (0.1987, 0.1420, 0.6772) and O at (0.2095, 0.0000, 0.3213).

---

[3]
Below is crystalline K2CdOsO6 at its relaxed geometry, with properties calculated at the PBE-GGA level.

The calculation puts the uncorrected formation energy at -1.09 eV/atom. The density comes out at 4.15 g/cm3. Its crystal system is trigonal. The volume comes out at 191 Å³/cell. The density of states at the Fermi level is 0.5 states/eV/cell.

The space group is P-3m1 (No. 164) and the conventional cell measures 6.1613, 6.1613 and 5.8079 Å, with angles of 90.00, 90.00 and 120.00 degrees. The inequivalent atoms are K at (0.3333, 0.6667, 0.1346), Cd at (0.0000, 0.0000, 0.5000), Os at (0.0000, 0.0000, 0.0000) and O at (0.1428, 0.2857, 0.8089).

---

[4]
Below is crystalline KCdOs2O8 at its relaxed geometry, with properties calculated at the PBE-GGA level.

The calculation puts the uncorrected formation energy at -1.07 eV/atom. The density comes out at 5.56 g/cm3. Its crystal system is monoclinic. The volume comes out at 394 Å³/cell. The density of states at the Fermi level is 10.7 states/eV/cell.

The space group is C2/m (No. 12) and the conventional cell measures 8.7264, 6.6728 and 7.4331 Å, with angles of 90.00, 114.39 and 90.00 degrees. The inequivalent atoms are K at (0.0000, 0.0000, 0.0000), Cd at (0.0000, 0.0000, 0.5000), Os at (0.0429, 0.5000, 0.2370), O at (0.0474, 0.2675, 0.7397), O at (0.1506, 0.5000, 0.0723) and O at (0.2360, 0.5000, 0.4642).

---

[5]
Below is crystalline K3Cd3OsO8 at its relaxed geometry, with properties calculated at the PBE-GGA level.

The calculation puts the uncorrected formation energy at -1.20 eV/atom. The density comes out at 5.12 g/cm3. Its crystal system is trigonal. The volume comes out at 751 Å³/cell. The density of states at the Fermi level is 17.9 states/eV/cell.

The space group is R-3m (No. 166, hexagonal axes) and the conventional cell measures 6.8715, 6.8715 and 18.3688 Å, with angles of 90.00, 90.00 and 120.00 degrees. The inequivalent atoms are K at (0.0000, 0.5000, 0.0000), Cd at (0.0000, 0.5000, 0.5000), Os at (0.0000, 0.0000, 0.5000), O at (0.0000, 0.0000, 0.2226) and O at (0.0669, 0.5334, 0.2263).

---

[6]
Below is crystalline K3Cd2OsO6 at its relaxed geometry, with properties calculated at the PBE-GGA level.

The calculation puts the uncorrected formation energy at -1.21 eV/atom. The density comes out at 5.74 g/cm3. Its crystal system is monoclinic. The volume comes out at 364 Å³/cell. The density of states at the Fermi level is 6.0 states/eV/cell.

The space group is C2/m (No. 12) and the conventional cell measures 5.9065, 10.2126 and 6.3434 Å, with angles of 90.00, 108.17 and 90.00 degrees. The inequivalent atoms are K at (0.0000, 0.0000, 0.0000), K at (0.0000, 0.3279, 0.0000), Cd at (0.0000, 0.1661, 0.5000), Os at (0.0000, 0.5000, 0.5000), O at (0.2050, 0.3570, 0.6844) and O at (0.2220, 0.5000, 0.3138).

---

[7]
Below is crystalline KCdP2O at its relaxed geometry, with properties calculated at the PBE-GGA level.

The calculation puts the uncorrected formation energy at 1.43 eV/atom. The density comes out at 2.83 g/cm3. Its crystal system is tetragonal. For the distance to the lowest polymorph of the same formula, the calculation gives 0.942 eV per atom. The volume comes out at 134 Å³/cell. The density of states at the Fermi level is 4.3 states/eV/cell.

The space group is P4/mmm (No. 123) and the conventional cell measures 5.4788, 5.4788 and 4.4806 Å, with angles of 90.00, 90.00 and 90.00 degrees. The inequivalent atoms are K at (0.0000, 0.0000, 0.0000), Cd at (0.5000, 0.5000, 0.5000), P at (0.0000, 0.5000, 0.0000) and O at (0.0000, 0.0000, 0.5000).

---

[8]
Below is crystalline KCdP2O at its relaxed geometry, with properties calculated at the PBE-GGA level.

The calculation puts the uncorrected formation energy at 0.49 eV/atom. The density comes out at 3.23 g/cm3. Its crystal system is tetragonal. For the distance to the lowest polymorph of the same formula, the calculation gives 0.000 eV per atom. The volume comes out at 118 Å³/cell. The density of states at the Fermi level is 4.1 states/eV/cell.

The space group is P4/mmm (No. 123) and the conventional cell measures 5.1458, 5.1458 and 4.4547 Å, with angles of 90.00, 90.00 and 90.00 degrees. The inequivalent atoms are K at (0.0000, 0.0000, 0.0000), Cd at (0.5000, 0.5000, 0.5000), P at (0.0000, 0.5000, 0.5000) and O at (0.5000, 0.5000, 0.0000).

---

[9]
Below is crystalline KCdPO2 at its relaxed geometry, with properties calculated at the PBE-GGA level.

The calculation puts the uncorrected formation energy at 0.94 eV/atom. The density comes out at 2.68 g/cm3. Its crystal system is tetragonal. For the distance to the lowest polymorph of the same formula, the calculation gives 0.790 eV per atom. The volume comes out at 133 Å³/cell. The density of states at the Fermi level is 4.5 states/eV/cell.

The space group is P4/mmm (No. 123) and the conventional cell measures 4.5589, 4.5589 and 6.4019 Å, with angles of 90.00, 90.00 and 90.00 degrees. The inequivalent atoms are K at (0.0000, 0.0000, 0.0000), Cd at (0.5000, 0.5000, 0.5000), P at (0.0000, 0.0000, 0.5000) and O at (0.0000, 0.5000, 0.0000).

---

[10]
Below is crystalline KCdPO4 at its relaxed geometry, with properties calculated at the PBE-GGA level.

The calculation puts the uncorrected formation energy at -1.98 eV/atom. The density comes out at 3.75 g/cm3. Its crystal system is monoclinic. The volume comes out at 218 Å³/cell. The density of states at the Fermi level is 0.0 states/eV/cell.

The space group is P2_1/m (No. 11) and the conventional cell measures 5.5514, 5.8037 and 7.0771 Å, with angles of 90.00, 106.67 and 90.00 degrees. The inequivalent atoms are K at (0.1969, 0.2500, 0.4332), Cd at (0.2927, 0.2500, 0.9652), P at (0.2535, 0.7500, 0.1627), O at (0.0836, 0.7500, 0.9468), O at (0.0857, 0.7500, 0.3049) and O at (0.4380, 0.5365, 0.1999).